DFT (PBE-GGA) results for ZrGe4B2 after structural relaxation.

abc: 5.3704 5.3704 6.5583
angles: 65.83 65.83 90.00
With the nearest neighbours (Å) after each atom.
Atoms (fractional coordinates):
1 Ge 0.7553 0.7553 0.4894  1 B 1.96
2 Ge 0.5000 0.0000 0.0000  2 Zr 2.69, 4 B 2.79
3 Ge 0.0000 0.5000 0.0000  2 Zr 2.69, 4 B 2.79
4 Ge 0.2447 0.2447 0.5106  1 B 1.96
5 B 0.5721 0.5721 0.8558  1 B 1.54
6 B 0.4279 0.4279 0.1442  1 B 1.54
7 Zr 0.0000 0.0000 0.0000  6 Ge 2.62-2.69

**Spin magnetization**: 0.00 μB/f.u.
**E**: -5.048 eV per atom
**DOS at the Fermi energy**: 0.85 states/eV/atom
**Space group**: I4/mmm
**Formation energy from the elements**: 0.7190 eV/atom